KZrRu, optimized geometry, DFT GGA-PBEsol; electronic total energy = -19.311 eV/cell; ΔE_f = 8.34 kcal/mol of atoms
1.0
3.2850 0.0000 0.0000
0.0000 3.2850 0.0000
-1.6425 -1.6425 7.1831
K Ru Zr
1 1 1
direct
0.9766 0.9766 0.9533 K
0.3030 0.3030 0.6059 Ru
0.7204 0.7204 0.4408 Zr

---

La5Os, optimized geometry, DFT GGA-PBEsol; electronic total energy = -34.583 eV/cell; ΔE_f = 16.77 kcal/mol of atoms
1.0
6.1518 0.0000 0.0000
3.0759 5.3276 0.0000
3.0759 1.7759 5.0229
La Os
5 1
direct
0.6270 0.6270 0.1191 La
0.1191 0.6270 0.6270 La
0.6270 0.6270 0.6270 La
0.6270 0.1191 0.6270 La
0.2500 0.2500 0.2500 La
0.0000 0.0000 0.0000 Os

---

Ca3Sn13Ir4, optimized geometry, DFT GGA-PBEsol; electronic total energy = -220.959 eV/cell; ΔE_f = -10.86 kcal/mol of atoms
1.0
-5.1080 -0.2842 8.2238
-3.0581 -8.9206 -2.2078
7.6393 -3.7610 4.6150
Ir Ca Sn
8 6 26
direct
0.7500 0.7500 0.2500 Ir
0.7500 0.2500 0.2500 Ir
0.2500 0.2500 0.2500 Ir
0.7500 0.2500 0.7500 Ir
0.2500 0.7500 0.2500 Ir
0.2500 0.7500 0.7500 Ir
0.7500 0.7500 0.7500 Ir
0.2500 0.2500 0.7500 Ir
0.2500 0.5000 0.0000 Ca
0.5000 0.0000 0.7500 Ca
0.0000 0.2500 0.5000 Ca
0.0000 0.7500 0.5000 Ca
0.5000 0.0000 0.2500 Ca
0.7500 0.5000 0.0000 Ca
0.8480 0.0000 0.6957 Sn
0.0000 0.3043 0.8480 Sn
0.8043 0.5000 0.3480 Sn
0.6520 0.1957 0.5000 Sn
0.6957 0.8480 0.0000 Sn
0.0000 0.0000 0.0000 Sn
0.1957 0.5000 0.3480 Sn
0.5000 0.3480 0.8043 Sn
0.5000 0.5000 0.5000 Sn
0.3043 0.1520 0.0000 Sn
0.5000 0.6520 0.8043 Sn
0.3480 0.1957 0.5000 Sn
0.6520 0.8043 0.5000 Sn
0.1957 0.5000 0.6520 Sn
0.3480 0.8043 0.5000 Sn
0.1520 0.0000 0.3043 Sn
0.8480 0.0000 0.3043 Sn
0.6957 0.1520 0.0000 Sn
0.3043 0.8480 0.0000 Sn
0.0000 0.6957 0.1520 Sn
0.0000 0.3043 0.1520 Sn
0.5000 0.6520 0.1957 Sn
0.8043 0.5000 0.6520 Sn
0.1520 0.0000 0.6957 Sn
0.0000 0.6957 0.8480 Sn
0.5000 0.3480 0.1957 Sn

---

Sr2MgZn, optimized geometry, DFT GGA-PBEsol; electronic total energy = -7.242 eV/cell; ΔE_f = -1.51 kcal/mol of atoms; energy above the most stable polymorph in this dataset = 0.0373 eV/atom
1.0
-0.8001 -3.6054 0.9822
3.8242 0.3022 4.2244
-5.6330 3.5445 0.9880
Mg Sr Zn
1 2 1
direct
0.8011 0.3013 0.6021 Mg
0.0116 0.0116 0.0233 Sr
0.2090 0.7093 0.4180 Sr
0.4783 0.4778 0.9566 Zn

---

TlIn2Hg, optimized geometry, DFT GGA-PBEsol; electronic total energy = -9.115 eV/cell; ΔE_f = 0.28 kcal/mol of atoms
1.0
4.4972 0.0000 0.0000
0.0000 4.4972 0.0000
-2.2486 -2.2486 5.0059
In Hg Tl
2 1 1
direct
0.7500 0.2500 0.5000 In
0.0000 0.0000 0.0000 In
0.2500 0.7500 0.5000 Hg
0.5000 0.5000 0.0000 Tl

---

SrReW2, optimized geometry, DFT GGA-PBEsol; electronic total energy = -39.495 eV/cell; ΔE_f = 18.98 kcal/mol of atoms
1.0
3.0636 0.0000 0.0000
0.0000 3.0636 0.0000
0.0000 0.0000 8.2972
Sr W Re
1 2 1
direct
0.5000 0.5000 0.5000 Sr
0.0000 0.0000 0.1851 W
0.0000 0.0000 0.8149 W
0.5000 0.5000 0.0000 Re

---

Question: Which of these has the lowest ΔE_f?
Answer: Ca3Sn13Ir4

---

Question: Among the records above, which one has the lowest electronic total energy?
Answer: Ca3Sn13Ir4

---

Question: Which formula does entry 2 have?
Answer: La5Os